Entry from the Alexandria database: crystalline RbZn2NiW at its relaxed geometry (GGA-PBE).

ΔH_f (0 K) = 1.58 eV/atom
Magnetic moment = 4.95 μB/f.u.

Lattice parameters (Å, degrees): 4.7742 4.7742 5.4953 90.00 90.00 90.00
Space group P4/mmm (No. 123)
One atom of each set of equivalent atoms:
Rb 0.0000 0.0000 0.0000 x1
Zn 0.0000 0.5000 0.5000 x2
Ni 0.0000 0.0000 0.5000 x1
W 0.5000 0.5000 0.0000 x1

Entry from the Alexandria database: crystalline Rb2YNi at its relaxed geometry (GGA-PBE).

ΔH_f (0 K) = 1.19 eV/atom
Magnetic moment = 0.97 μB/f.u.
Relative energy among the computed polymorphs = 2.238 eV per formula unit

Lattice parameters (Å, degrees): 8.5467 8.5467 8.5467 90.00 90.00 90.00
Space group Fm-3m (No. 225)
One atom of each set of equivalent atoms:
Rb 0.2500 0.2500 0.2500 x8
Y 0.0000 0.0000 0.0000 x4
Ni 0.0000 0.0000 0.5000 x4